Here is a relaxed BaCaTlAg crystal from Alexandria. Energies are from PBE.

Cell lengths 8.053, 8.053, 8.053 Å; angles 90.00, 90.00, 90.00 degrees
Space group F-43m (No. 216)
Unique sites:
Ba (0.000, 0.000, 0.000) x4
Ca (0.000, 0.000, 0.500) x4
Tl (0.250, 0.250, 0.750) x4
Ag (0.250, 0.250, 0.250) x4

**Formation enthalpy at 0 K**: -1.1 eV/f.u.

***

Here is a relaxed Dy7Er6Tm16 crystal from Alexandria. Energies are from PBE.

Cell lengths 15.502, 15.502, 15.502 Å; angles 90.00, 90.00, 90.00 degrees
Space group Fm-3m (No. 225)
Unique sites:
Dy (0.000, 0.000, 0.000) x4
Dy (0.000, 0.250, 0.250) x24
Er (0.000, 0.000, 0.274) x24
Tm (0.124, 0.124, 0.124) x32
Tm (0.151, 0.151, 0.349) x32

**Formation enthalpy at 0 K**: 7.6 eV/f.u.

***

Here is a relaxed ScFeAs crystal from Alexandria. Energies are from PBE.

Cell lengths 4.0218, 4.0218, 3.4859 Å; angles 90.00, 90.00, 120.00 degrees
Space group P-6m2 (No. 187)
Unique sites:
Sc (0.0000, 0.0000, 0.0000) x1
Fe (0.3333, 0.6667, 0.5000) x1
As (0.6667, 0.3333, 0.5000) x1

**Formation enthalpy at 0 K**: -1.8 eV/f.u.

***

Here is a relaxed IrIO crystal from Alexandria. Energies are from PBE.

Cell lengths 3.858, 5.702, 7.221 Å; angles 87.89, 87.90, 71.68 degrees
Space group P1 (No. 1)
Unique sites:
Ir (0.000, 0.000, 0.000) x1
Ir (0.335, 0.343, 0.998) x1
I (0.181, 0.846, 0.338) x1
I (0.658, 0.185, 0.677) x1
O (0.160, 0.687, 0.899) x1
O (0.825, 0.365, 0.071) x1

**Uncorrected formation energy**: -0.0151 eV/atom
**Polymorph energy (0 for the lowest one)**: 80.1 meV per atom

***

no.,volume (Å³ per atom)
1,32.6
2,32.1
3,16.3
4,25.1